1.
The following is a DFT calculation (GGA-PBE) of a geometry-optimized BaVP2N6 structure.

extended XYZ file:
```
20
Lattice="4.743 -5.615 0.000 4.743 5.615 0.000 -1.712 0.000 5.207" Properties=species:S:1:pos:R:3 pbc="T T T"
Ba 3.459 3.996 3.905
Ba 4.315 -3.996 1.302
V 4.315 2.391 1.302
V 3.459 -2.391 3.905
P 1.050 0.838 4.437
P 1.905 -0.838 1.833
P 5.869 0.838 3.373
P 6.724 -0.838 0.770
N 2.921 3.506 1.241
N 1.950 0.079 0.460
N 1.094 -0.079 3.063
N 2.463 1.448 4.962
N 5.709 3.506 1.363
N 4.455 1.448 2.848
N 3.319 -1.448 2.358
N 2.065 -3.506 3.844
N 5.311 -1.448 0.245
N 6.680 0.079 2.144
N 5.824 -0.079 4.747
N 4.853 -3.506 3.966
```

Crystal system   monoclinic

***

2.
The following is a DFT calculation (GGA-PBE) of a geometry-optimized BaV2PN structure.

extended XYZ file:
```
5
Lattice="5.571 0.000 0.000 0.000 5.571 0.000 0.000 0.000 4.284" Properties=species:S:1:pos:R:3 pbc="T T T"
Ba 0.000 0.000 0.000
V 0.000 2.785 0.000
V 2.785 0.000 0.000
P 2.785 2.785 2.142
N 0.000 0.000 2.142
```

Crystal system   tetragonal

***

3.
The following is a DFT calculation (GGA-PBE) of a geometry-optimized BaY2P2N6 structure.

extended XYZ file:
```
11
Lattice="6.017 0.000 0.000 -2.340 5.559 0.000 -2.481 -2.016 5.580" Properties=species:S:1:pos:R:3 pbc="T T T"
Ba 0.000 0.000 0.000
Y -0.133 0.299 3.741
Y 1.329 3.244 1.838
P -1.747 2.680 4.023
P 2.944 0.863 1.557
N -2.960 3.525 3.468
N -1.853 1.670 5.245
N -0.302 2.762 3.365
N 1.498 0.782 2.215
N 3.049 1.874 0.335
N 4.156 0.019 2.111
```

Crystal system   triclinic

***

4.
The following is a DFT calculation (GGA-PBE) of a geometry-optimized BaZnPN3 structure.

extended XYZ file:
```
12
Lattice="6.189 -1.547 0.000 6.189 1.547 0.000 -2.838 0.000 9.173" Properties=species:S:1:pos:R:3 pbc="T T T"
Ba 1.585 0.000 1.447
Ba 7.954 0.000 7.725
Zn -0.007 0.000 4.501
Zn 9.546 0.000 4.671
P 4.756 0.000 2.334
P 4.783 0.000 6.838
N -1.257 0.000 7.807
N 3.499 0.000 3.357
N 3.275 0.000 6.211
N 6.264 0.000 2.962
N 6.040 0.000 5.816
N 10.796 0.000 1.366
```

Crystal system   monoclinic

***

5.
The following is a DFT calculation (GGA-PBE) of a geometry-optimized BaZn2PN structure.

extended XYZ file:
```
10
Lattice="2.005 -6.139 0.000 2.005 6.139 0.000 0.000 0.000 7.661" Properties=species:S:1:pos:R:3 pbc="T T T"
Ba 2.005 5.448 5.745
Ba 2.005 -5.448 1.915
Zn 2.005 1.830 4.403
Zn 2.005 1.830 7.088
Zn 2.005 -1.830 0.572
Zn 2.005 -1.830 3.258
P 2.005 3.395 1.915
P 2.005 -3.395 5.745
N 2.005 0.000 0.000
N 2.005 0.000 3.830
```

Crystal system   orthorhombic

***

6.
The following is a DFT calculation (GGA-PBE) of a geometry-optimized Ba2ZnP2N6 structure.

extended XYZ file:
```
11
Lattice="2.901 1.675 5.800 -2.901 1.675 5.800 0.000 -3.350 5.800" Properties=species:S:1:pos:R:3 pbc="T T T"
Ba 0.000 0.000 3.756
Ba 0.000 0.000 13.645
Zn 0.000 0.000 0.000
P 0.000 0.000 7.145
P 0.000 0.000 10.257
N 0.000 -1.578 7.152
N -1.367 0.789 7.152
N -1.367 -0.789 10.249
N 1.367 0.789 7.152
N 1.367 -0.789 10.249
N 0.000 1.578 10.249
```

Crystal system   trigonal

***

7.
The following is a DFT calculation (GGA-PBE) of a geometry-optimized BaZr2PN structure.

extended XYZ file:
```
5
Lattice="4.838 0.000 0.000 0.000 4.838 0.000 0.000 0.000 6.168" Properties=species:S:1:pos:R:3 pbc="T T T"
Ba 0.000 0.000 0.000
Zr 0.000 2.419 3.084
Zr 2.419 0.000 3.084
P 0.000 0.000 3.084
N 2.419 2.419 0.000
```

Crystal system   tetragonal

***

8.
The following is a DFT calculation (GGA-PBE) of a geometry-optimized Ba2ZrP2N6 structure.

extended XYZ file:
```
11
Lattice="2.888 1.667 5.930 -2.888 1.667 5.930 0.000 -3.334 5.930" Properties=species:S:1:pos:R:3 pbc="T T T"
Ba 0.000 0.000 3.867
Ba 0.000 0.000 13.924
Zr 0.000 0.000 0.000
P 0.000 0.000 7.283
P 0.000 0.000 10.509
N 0.000 -1.583 7.292
N -1.371 0.792 7.292
N -1.371 -0.792 10.500
N 1.371 0.792 7.292
N 1.371 -0.792 10.500
N 0.000 1.583 10.500
```

Crystal system   trigonal

***

9.
The following is a DFT calculation (GGA-PBE) of a geometry-optimized BaZr3P4N12 structure.

extended XYZ file:
```
20
Lattice="5.394 3.114 2.854 -5.394 3.114 2.854 0.000 -6.228 2.854" Properties=species:S:1:pos:R:3 pbc="T T T"
Ba 0.000 0.000 0.000
Zr -3.006 -1.022 2.854
Zr -3.006 1.022 5.708
Zr 0.618 3.114 2.854
P -2.379 -4.121 4.281
P 0.000 0.000 4.281
P -2.379 4.121 4.281
P 4.759 0.000 4.281
N -3.150 -2.779 4.041
N -4.450 0.000 4.281
N -0.831 -4.117 4.521
N -1.581 0.000 4.281
N -3.150 2.779 4.521
N 2.225 -3.853 4.281
N 0.790 -1.369 4.281
N -0.831 4.117 4.041
N 0.790 1.369 4.281
N 3.981 -1.339 4.041
N 2.225 3.853 4.281
N 3.981 1.339 4.521
```

Crystal system   trigonal

***

10.
The following is a DFT calculation (GGA-PBE) of a geometry-optimized BaPa2N3 structure.

extended XYZ file:
```
6
Lattice="6.106 0.000 0.000 -3.053 5.288 0.000 0.000 0.000 3.291" Properties=species:S:1:pos:R:3 pbc="T T T"
Ba 0.000 0.000 0.000
Pa 0.000 3.525 1.646
Pa 3.053 1.763 1.646
N -1.526 2.644 0.000
N 3.053 0.000 0.000
N 1.526 2.644 0.000
```

Crystal system   hexagonal

***

11.
The following is a DFT calculation (GGA-PBE) of a geometry-optimized Ba2PaN3 structure.

extended XYZ file:
```
12
Lattice="3.278 -5.647 0.000 3.278 5.647 0.000 -2.134 0.000 6.459" Properties=species:S:1:pos:R:3 pbc="T T T"
Ba 0.000 0.000 0.000
Ba 2.211 3.800 3.230
Ba 2.211 0.000 3.230
Ba 2.211 -3.800 3.230
Pa 3.278 1.870 0.000
Pa 3.278 -1.870 0.000
N 1.311 2.198 1.276
N 0.416 0.000 5.248
N 1.311 -2.198 1.276
N 3.111 2.198 5.184
N 4.005 0.000 1.211
N 3.111 -2.198 5.184
```

Offset from the most stable computed form   0.0000 eV/atom
Crystal system   monoclinic

***

12.
The following is a DFT calculation (GGA-PBE) of a geometry-optimized BaPaN structure.

extended XYZ file:
```
12
Lattice="13.001 0.000 0.000 0.000 3.614 0.000 0.000 0.000 6.463" Properties=species:S:1:pos:R:3 pbc="T T T"
Ba 0.130 0.904 1.603
Ba 6.370 2.711 4.835
Ba 6.631 0.904 1.628
Ba 12.871 2.711 4.860
Pa 3.129 0.904 5.789
Pa 3.372 2.711 2.558
Pa 9.629 0.904 3.906
Pa 9.872 2.711 0.674
N 2.339 2.711 0.493
N 4.162 0.904 3.725
N 8.839 2.711 2.738
N 10.662 0.904 5.970
```

Crystal system   orthorhombic

***

13.
The following is a DFT calculation (GGA-PBE) of a geometry-optimized Ba5PaN5 structure.

extended XYZ file:
```
11
Lattice="6.230 -2.785 0.000 6.230 2.785 0.000 -2.377 0.000 7.523" Properties=species:S:1:pos:R:3 pbc="T T T"
Ba 0.000 0.000 0.000
Ba 2.491 0.000 5.015
Ba 3.624 0.000 1.580
Ba 6.459 0.000 5.943
Ba 7.592 0.000 2.508
Pa -1.189 0.000 3.762
N -0.300 0.000 5.735
N 0.962 0.000 2.782
N 5.041 0.000 3.762
N 9.121 0.000 4.741
N 10.383 0.000 1.788
```

Crystal system   monoclinic

***

14.
The following is a DFT calculation (GGA-PBE) of a geometry-optimized BaPaN3 structure.

extended XYZ file:
```
20
Lattice="6.293 -5.037 0.000 6.293 5.037 0.000 -0.634 0.000 6.205" Properties=species:S:1:pos:R:3 pbc="T T T"
Ba 2.658 1.186 1.638
Ba 2.341 -1.186 4.740
Ba 9.611 1.186 1.465
Ba 9.294 -1.186 4.568
Pa 6.135 2.709 1.551
Pa 5.818 0.888 4.654
Pa 6.135 -0.888 1.551
Pa 5.818 -2.709 4.654
N 4.448 3.621 1.033
N 4.701 2.094 3.402
N 7.821 3.621 2.070
N 5.193 0.862 0.496
N 6.935 2.094 5.906
N 7.076 0.862 2.607
N 4.876 -0.862 3.599
N 5.018 -2.094 0.299
N 6.760 -0.862 5.709
N 4.132 -3.621 4.136
N 7.252 -2.094 2.804
N 7.504 -3.621 5.173
```

Crystal system   monoclinic

***

15.
The following is a DFT calculation (GGA-PBE) of a geometry-optimized Ba5PaN4 structure.

extended XYZ file:
```
10
Lattice="10.288 -1.902 0.000 10.288 1.902 0.000 -1.733 0.000 7.907" Properties=species:S:1:pos:R:3 pbc="T T T"
Ba 0.000 0.000 0.000
Ba 7.050 0.000 1.638
Ba 6.334 0.000 5.099
Ba 12.509 0.000 2.808
Ba 11.794 0.000 6.270
Pa -0.866 0.000 3.954
N 1.307 0.000 4.421
N 9.756 0.000 2.436
N 9.087 0.000 5.471
N 17.536 0.000 3.486
```

Crystal system   monoclinic

***

16.
The following is a DFT calculation (GGA-PBE) of a geometry-optimized Ba2PaN3 structure.

extended XYZ file:
```
6
Lattice="-1.834 2.625 6.307 1.834 -2.625 6.307 1.834 2.625 -6.307" Properties=species:S:1:pos:R:3 pbc="T T T"
Ba 0.000 0.000 2.018
Ba 0.000 0.000 10.597
Pa 0.000 0.000 6.307
N 1.834 0.000 0.000
N 1.834 0.000 4.930
N 0.000 2.625 1.377
```

Offset from the most stable computed form   0.0390 eV/atom
Crystal system   orthorhombic

***

17.
The following is a DFT calculation (GGA-PBE) of a geometry-optimized Ba2PaN4 structure.

extended XYZ file:
```
7
Lattice="3.000 -6.119 0.000 3.000 6.119 0.000 0.000 0.000 3.684" Properties=species:S:1:pos:R:3 pbc="T T T"
Ba 3.000 4.165 0.000
Ba 3.000 -4.165 0.000
Pa 3.000 0.000 1.842
N 0.655 0.000 1.842
N 3.000 1.404 0.000
N 3.000 -1.404 0.000
N 5.345 0.000 1.842
```

Crystal system   orthorhombic

***

18.
The following is a DFT calculation (GGA-PBE) of a geometry-optimized BaPa4PbN8 structure.

extended XYZ file:
```
14
Lattice="3.566 2.059 6.672 -3.566 2.059 6.672 0.000 -4.117 6.672" Properties=species:S:1:pos:R:3 pbc="T T T"
Ba 0.000 0.000 0.000
Pa 0.000 0.000 9.209
Pa -1.802 -1.040 16.574
Pa 1.802 -1.040 16.574
Pa 0.000 2.081 16.574
Pb 0.000 0.000 12.339
N 0.000 0.000 4.136
N -1.620 -0.935 10.802
N 0.000 -2.189 8.684
N -1.895 1.094 8.684
N 1.620 -0.935 10.802
N 0.000 1.871 10.802
N 1.895 1.094 8.684
N 0.000 0.000 15.775
```

Crystal system   trigonal

***

19.
The following is a DFT calculation (GGA-PBE) of a geometry-optimized BaPa2PdN5 structure.

extended XYZ file:
```
18
Lattice="-3.339 3.339 6.042 3.339 -3.339 6.042 3.339 3.339 -6.042" Properties=species:S:1:pos:R:3 pbc="T T T"
Ba 0.000 0.000 3.021
Ba 0.000 0.000 9.063
Pa 4.535 1.195 0.000
Pa 1.195 2.144 0.000
Pa 2.144 1.195 6.042
Pa -1.195 2.144 6.042
Pd 3.339 0.000 3.021
Pd 0.000 3.339 3.021
N 0.000 0.000 0.000
N 2.417 0.923 -1.405
N 2.417 -0.923 4.637
N 2.417 0.923 1.405
N 2.417 -0.923 7.447
N 0.000 0.000 6.042
N 0.923 4.262 -1.405
N 0.923 2.417 4.637
N 0.923 4.262 1.405
N 0.923 2.417 7.447
```

Crystal system   tetragonal

***

20.
The following is a DFT calculation (GGA-PBE) of a geometry-optimized Ba3PmPa2N6 structure.

extended XYZ file:
```
12
Lattice="8.335 -1.845 0.000 8.335 1.845 0.000 -2.302 0.000 7.351" Properties=species:S:1:pos:R:3 pbc="T T T"
Ba 0.000 0.000 0.000
Ba 4.056 0.000 4.914
Ba 10.311 0.000 2.437
Pm -1.151 0.000 3.676
Pa 5.162 0.000 1.256
Pa 9.205 0.000 6.096
N 1.231 0.000 4.644
N 2.990 0.000 0.287
N 7.287 0.000 1.930
N 7.080 0.000 5.422
N 11.377 0.000 7.065
N 13.136 0.000 2.708
```

Crystal system   monoclinic

***

21.
The following is a DFT calculation (GGA-PBE) of a geometry-optimized Ba2PmPaN4 structure.

extended XYZ file:
```
8
Lattice="6.372 0.000 0.000 0.000 3.728 0.000 -2.151 0.000 6.421" Properties=species:S:1:pos:R:3 pbc="T T T"
Ba 0.000 0.000 0.000
Ba 3.186 1.864 0.000
Pm -1.075 1.864 3.210
Pa 2.111 0.000 3.210
N 0.177 0.000 4.427
N 1.151 1.864 1.989
N 3.070 1.864 4.432
N 4.044 0.000 1.994
```

Crystal system   monoclinic

***

ΔE_f (raw) / eV/atom: -0.48 2.36 -0.94 -0.27 -0.34 -0.27 0.76 -0.94 -0.62 -1.28 -1.05 -0.52 -0.65 -0.73 -0.74 -1.01 -0.90 -1.23 -0.90 -1.21 -1.12
Calculated total energy / eV per cell: -153.2 -22.1 -86.0 -70.4 -39.8 -68.9 -28.9 -83.5 -161.5 -53.6 -89.2 -85.2 -67.9 -160.2 -59.8 -44.4 -53.0 -127.5 -151.6 -94.0 -60.4